[1]
Material: Sr2ScMo
Method: DFT, PBE
State: optimized geometry

Unit cell a=3.7108 b=3.7197 c=9.1513 alpha=90.00 beta=90.29 gamma=90.00
Closest atoms and distances in Å follow each position.
Element x y z (fractional)
Sr 0.0000 0.0000 0.0000  1 Mo 3.44, 4 Sc 3.58-3.59, 4 Sr 3.71-3.72
Sr 0.4975 0.5000 0.3785  1 Sc 3.24, 4 Mo 3.45-3.46
Sc 0.4989 0.5000 0.7328  4 Mo 2.81
Mo 0.9979 0.0000 0.6243  4 Sc 2.81

Values from the calculation:
**ΔE to the lowest computed polymorph**: 0 meV per atom
**N(E_F)**: 1.067 states/eV/atom
**Calculated volume**: 126.3 Å³/cell
**Space-group type**: Pm

***

[2]
Material: La12In6Os
Method: DFT, PBE
State: optimized geometry

Unit cell a=8.6941 b=8.6941 c=8.6941 alpha=94.42 beta=94.42 gamma=94.42
Closest atoms and distances in Å follow each position.
Element x y z (fractional)
La 0.0188 0.9164 0.6815  1 Os 2.83
La 0.0836 0.3185 0.9812  1 Os 2.83
La 0.1940 0.4278 0.5440  4 In 3.26-3.40
La 0.3185 0.9812 0.0836  1 Os 2.83
La 0.4278 0.5440 0.1940  4 In 3.26-3.40
La 0.4560 0.8060 0.5722  4 In 3.26-3.40
La 0.5440 0.1940 0.4278  4 In 3.26-3.40
La 0.5722 0.4560 0.8060  4 In 3.26-3.40
La 0.6815 0.0188 0.9164  1 Os 2.83
La 0.8060 0.5722 0.4560  4 In 3.26-3.40
La 0.9164 0.6815 0.0188  1 Os 2.83
La 0.9812 0.0836 0.3185  1 Os 2.83
In 0.1431 0.7315 0.3392  8 La 3.26-3.57
In 0.2685 0.6608 0.8569  8 La 3.26-3.57
In 0.3392 0.1431 0.7315  8 La 3.26-3.57
In 0.6608 0.8569 0.2685  8 La 3.26-3.57
In 0.7315 0.3392 0.1431  8 La 3.26-3.57
In 0.8569 0.2685 0.6608  8 La 3.26-3.57
Os 0.0000 0.0000 0.0000  6 La 2.83

Values from the calculation:
**N(E_F)**: 1.205 states/eV/atom
**Calculated volume**: 651.0 Å³/cell
**Space-group type**: R-3
**E_tot**: -91.6 eV per formula unit

***

[3]
Material: Dy2ErLu
Method: DFT, PBE
State: optimized geometry

Unit cell a=3.5056 b=3.5056 c=9.9131 alpha=90.00 beta=90.00 gamma=90.00
Closest atoms and distances in Å follow each position.
Element x y z (fractional)
Dy 0.0000 0.0000 0.2485  4 Lu 3.49, 4 Dy 3.51, 4 Er 3.52
Dy 0.0000 0.0000 0.7515  4 Lu 3.49, 4 Dy 3.51, 4 Er 3.52
Er 0.5000 0.5000 0.5000  4 Er 3.51, 8 Dy 3.52
Lu 0.5000 0.5000 0.0000  8 Dy 3.49, 4 Lu 3.51

Values from the calculation:
**ΔE to the lowest computed polymorph**: 0 meV per atom
**N(E_F)**: 1.340 states/eV/atom
**Calculated volume**: 121.8 Å³/cell
**Space-group type**: P4/mmm

***

Question: What is the calculated volume in the second record?
Answer: 651.0 Å³/cell

***

Question: Among the records above, which one has the lowest calculated volume?
Answer: Dy2ErLu

***

Repeat the third record exactly.
Material: Dy2ErLu
Method: DFT, PBE
State: optimized geometry

Unit cell a=3.5056 b=3.5056 c=9.9131 alpha=90.00 beta=90.00 gamma=90.00
Closest atoms and distances in Å follow each position.
Element x y z (fractional)
Dy 0.0000 0.0000 0.2485  4 Lu 3.49, 4 Dy 3.51, 4 Er 3.52
Dy 0.0000 0.0000 0.7515  4 Lu 3.49, 4 Dy 3.51, 4 Er 3.52
Er 0.5000 0.5000 0.5000  4 Er 3.51, 8 Dy 3.52
Lu 0.5000 0.5000 0.0000  8 Dy 3.49, 4 Lu 3.51

Values from the calculation:
**ΔE to the lowest computed polymorph**: 0 meV per atom
**N(E_F)**: 1.340 states/eV/atom
**Calculated volume**: 121.8 Å³/cell
**Space-group type**: P4/mmm

***

Question: Which formula does entry 2 have?
Answer: La12In6Os